1.
16
Lattice="6.138 0.000 0.000 0.000 6.138 0.000 0.000 0.000 6.138" Properties=species:S:1:pos:R:3 comment="YBrO2 | the Alexandria database | GGA-PBE | optimized geometry" e_above_lowest_polymorph_kj_per_mol_fu=373.9 vol_a3_per_cell=231.2 pbc="T T T"
Y 0.000 0.000 0.000
Y 0.000 3.069 3.069
Y 3.069 0.000 3.069
Y 3.069 3.069 0.000
Br 0.000 0.000 3.069
Br 0.000 3.069 0.000
Br 3.069 0.000 0.000
Br 3.069 3.069 3.069
O 1.534 1.534 1.534
O 1.534 1.534 4.603
O 1.534 4.603 1.534
O 1.534 4.603 4.603
O 4.603 1.534 1.534
O 4.603 1.534 4.603
O 4.603 4.603 1.534
O 4.603 4.603 4.603

2.
16
Lattice="5.872 0.000 0.000 0.000 5.872 0.000 0.000 0.000 10.694" Properties=species:S:1:pos:R:3 comment="YBrO2 | the Alexandria database | GGA-PBE | optimized geometry" e_above_lowest_polymorph_kj_per_mol_fu=235.8 vol_a3_per_cell=368.8 pbc="T T T"
Y 0.000 0.000 0.000
Y 0.000 2.936 2.674
Y 2.936 0.000 8.021
Y 2.936 2.936 5.347
Br 0.000 0.000 5.347
Br 0.000 2.936 8.021
Br 2.936 0.000 2.674
Br 2.936 2.936 0.000
O 0.831 1.468 1.337
O 1.468 3.767 4.010
O 1.468 5.041 9.358
O 2.105 1.468 6.684
O 3.767 4.404 6.684
O 4.404 0.831 9.358
O 4.404 2.105 4.010
O 5.041 4.404 1.337

3.
16
Lattice="3.928 0.000 0.000 0.000 3.928 0.000 0.000 0.000 22.024" Properties=species:S:1:pos:R:3 comment="YBr2O | the Alexandria database | GGA-PBE | optimized geometry" e_above_lowest_polymorph_kj_per_mol_fu=32.3 vol_a3_per_cell=339.8 pbc="T T T"
Y 0.000 0.000 0.000
Y 0.000 1.964 5.506
Y 1.964 0.000 16.518
Y 1.964 1.964 11.012
Br 0.977 0.982 2.753
Br 0.982 2.941 8.259
Br 0.982 2.951 19.271
Br 0.987 0.982 13.765
Br 2.941 2.946 13.765
Br 2.946 0.977 19.271
Br 2.946 0.987 8.259
Br 2.951 2.946 2.753
O 0.000 0.000 11.012
O 0.000 1.964 16.518
O 1.964 0.000 5.506
O 1.964 1.964 0.000

4.
16
Lattice="6.910 0.000 0.000 0.000 6.910 0.000 0.000 0.000 6.910" Properties=species:S:1:pos:R:3 comment="YBr2O | the Alexandria database | GGA-PBE | optimized geometry" e_above_lowest_polymorph_kj_per_mol_fu=0.0 vol_a3_per_cell=329.9 pbc="T T T"
Y 0.000 0.000 0.000
Y 0.000 3.455 3.455
Y 3.455 0.000 3.455
Y 3.455 3.455 0.000
Br 1.727 1.727 1.727
Br 1.727 1.727 5.182
Br 1.727 5.182 1.727
Br 1.727 5.182 5.182
Br 5.182 1.727 1.727
Br 5.182 1.727 5.182
Br 5.182 5.182 1.727
Br 5.182 5.182 5.182
O 0.000 0.000 3.455
O 0.000 3.455 0.000
O 3.455 0.000 0.000
O 3.455 3.455 3.455

5.
16
Lattice="6.677 0.000 0.000 0.000 6.677 0.000 0.000 0.000 6.677" Properties=species:S:1:pos:R:3 comment="Y2BrO | the Alexandria database | GGA-PBE | optimized geometry" e_above_lowest_polymorph_kj_per_mol_fu=276.8 vol_a3_per_cell=297.7 pbc="T T T"
Y 1.669 1.669 1.669
Y 1.669 1.669 5.008
Y 1.669 5.008 1.669
Y 1.669 5.008 5.008
Y 5.008 1.669 1.669
Y 5.008 1.669 5.008
Y 5.008 5.008 1.669
Y 5.008 5.008 5.008
Br 0.000 0.000 0.000
Br 0.000 3.339 3.339
Br 3.339 0.000 3.339
Br 3.339 3.339 0.000
O 0.000 0.000 3.339
O 0.000 3.339 0.000
O 3.339 0.000 0.000
O 3.339 3.339 3.339

6.
5
Lattice="4.843 0.000 0.000 0.000 4.843 0.000 0.000 0.000 4.843" Properties=species:S:1:pos:R:3 comment="Y3BrO | the Alexandria database | GGA-PBE | optimized geometry" e_above_lowest_polymorph_kj_per_mol_fu=0.0 vol_a3_per_cell=113.6 pbc="T T T"
Y 0.000 0.000 2.422
Y 0.000 2.422 0.000
Y 2.422 0.000 0.000
Br 2.422 2.422 2.422
O 0.000 0.000 0.000

One value per record, in order, for raw formation energy: -1.14, -1.50, -0.87, -0.95, -1.06, -0.99 eV/atom.